[1]
Computed, not measured: a relaxed structure of CrSn3Br at the PBE level of DFT.

Unit cell a=5.4644 b=5.4644 c=5.4644 alpha=90.00 beta=90.00 gamma=90.00
Fractional positions:
1 Cr 0.5000 0.5000 0.5000
2 Sn 0.0000 0.5000 0.0000
3 Sn 0.0000 0.0000 0.5000
4 Sn 0.5000 0.0000 0.0000
5 Br 0.0000 0.0000 0.0000

- Fermi-level density of states (states/eV/cell) = 9.935
- polymorph energy (0 for the lowest one) (meV/atom) = 1463

***

[2]
Computed, not measured: a relaxed structure of CrSnBr2 at the PBE level of DFT.

Unit cell a=5.2460 b=5.2460 c=5.2460 alpha=60.00 beta=60.00 gamma=60.00
Fractional positions:
1 Cr 0.0000 0.0000 0.0000
2 Sn 0.5000 0.5000 0.5000
3 Br 0.2500 0.2500 0.2500
4 Br 0.7500 0.7500 0.7500

- Fermi-level density of states (states/eV/cell) = 1.766
- polymorph energy (0 for the lowest one) (meV/atom) = 0

***

[3]
Computed, not measured: a relaxed structure of CrSn2Br at the PBE level of DFT.

Unit cell a=5.0742 b=5.0742 c=5.0742 alpha=60.00 beta=60.00 gamma=60.00
Fractional positions:
1 Cr 0.0000 0.0000 0.0000
2 Sn 0.2500 0.2500 0.2500
3 Sn 0.7500 0.7500 0.7500
4 Br 0.5000 0.5000 0.5000

- Fermi-level density of states (states/eV/cell) = 10.658
- polymorph energy (0 for the lowest one) (meV/atom) = 407

***

[4]
Computed, not measured: a relaxed structure of CrSn3Br at the PBE level of DFT.

Unit cell a=5.1078 b=5.1078 c=5.1078 alpha=90.00 beta=90.00 gamma=90.00
Fractional positions:
1 Cr 0.0000 0.0000 0.0000
2 Sn 0.0000 0.5000 0.0000
3 Sn 0.0000 0.0000 0.5000
4 Sn 0.5000 0.0000 0.0000
5 Br 0.5000 0.5000 0.5000

- Fermi-level density of states (states/eV/cell) = 2.168
- polymorph energy (0 for the lowest one) (meV/atom) = 0

***

[5]
Computed, not measured: a relaxed structure of TaCrSnBr2 at the PBE level of DFT.

Unit cell a=4.7412 b=5.8884 c=4.7412 alpha=90.00 beta=90.00 gamma=90.00
Fractional positions:
1 Cr 0.0000 0.0000 0.0000
2 Sn 0.0000 0.5000 0.0000
3 Br 0.0000 0.0000 0.5000
4 Br 0.5000 0.0000 0.0000
5 Ta 0.5000 0.5000 0.5000

- E (eV per cell) = -24.09
- Fermi-level density of states (states/eV/cell) = 7.911

***

[6]
Computed, not measured: a relaxed structure of CrSn2TeBr at the PBE level of DFT.

Unit cell a=5.1807 b=4.9077 c=5.1807 alpha=90.00 beta=90.00 gamma=90.00
Fractional positions:
1 Cr 0.0000 0.0000 0.0000
2 Te 0.0000 0.5000 0.0000
3 Sn 0.0000 0.0000 0.5000
4 Sn 0.5000 0.0000 0.0000
5 Br 0.5000 0.5000 0.5000

- E (eV per cell) = -22.55
- Fermi-level density of states (states/eV/cell) = 1.865

***

[7]
Computed, not measured: a relaxed structure of Tl2CrSnBr6 at the PBE level of DFT.

Unit cell a=7.8503 b=7.8560 c=7.7305 alpha=59.40 beta=59.42 gamma=59.98
Fractional positions:
1 Tl 0.5417 0.5409 0.3764
2 Tl 0.0905 0.0913 0.7270
3 Cr 0.3162 0.3162 0.0515
4 Sn 0.8162 0.8162 0.5515
5 Br 0.5437 0.1537 0.2939
6 Br 0.1537 0.0088 0.2960
7 Br 0.0094 0.5429 0.2949
8 Br 0.4786 0.6236 0.8070
9 Br 0.6229 0.0895 0.8080
10 Br 0.0887 0.4785 0.8090

- E (eV per cell) = -35.78
- Fermi-level density of states (states/eV/cell) = 3.727

***

[8]
Computed, not measured: a relaxed structure of TlCrSn2Br8 at the PBE level of DFT.

Unit cell a=7.8911 b=6.5954 c=8.9910 alpha=106.15 beta=75.39 gamma=93.20
Fractional positions:
1 Tl 0.0000 0.0000 0.5000
2 Cr 0.0000 0.0000 0.0000
3 Sn 0.3758 0.5385 0.7653
4 Sn 0.6242 0.4615 0.2347
5 Br 0.1700 0.8010 0.1150
6 Br 0.7150 0.8196 0.0954
7 Br 0.9325 0.2979 0.2606
8 Br 0.8300 0.1990 0.8850
9 Br 0.2850 0.1804 0.9046
10 Br 0.0675 0.7021 0.7394
11 Br 0.6246 0.7510 0.5268
12 Br 0.3754 0.2490 0.4732

- E (eV per cell) = -42.26

***

| no. | mass density (g cm⁻³) | magnetic moment (μB/cell) |
| --- | --- | --- |
| 1 | 4.967 | 0.6 |
| 2 | 5.376 | 5.0 |
| 3 | 6.638 | 0.6 |
| 4 | 6.081 | 1.0 |
| 5 | 6.417 | 5.3 |
| 6 | 6.264 | 0.0 |
| 7 | 5.264 | 4.0 |
| 8 | 4.326 | 3.0 |